1.
MnFeIrRh: relaxed, PBE.

Output
**Energy of formation from the pure elements**: -22 kJ/mol of formula units

The structure in CIF format:
```
data_MnFeIrRh
_chemical_formula_sum 'Mn4 Fe4 Ir4 Rh4'
_cell_length_a 6.0712
_cell_length_b 6.0712
_cell_length_c 6.0712
_cell_angle_alpha 90.00
_cell_angle_beta 90.00
_cell_angle_gamma 90.00
_space_group_name_H-M_alt 'F -4 3 m'
_space_group_IT_number 216
_space_group_name_Hall 'F -4 2 3'
loop_
_atom_site_label
_atom_site_type_symbol
_atom_site_fract_x
_atom_site_fract_y
_atom_site_fract_z
Mn1 Mn 0.0000 0.0000 0.0000
Fe1 Fe 0.0000 0.0000 0.5000
Ir1 Ir 0.2500 0.2500 0.2500
Rh1 Rh 0.2500 0.2500 0.7500
```



2.
LiGdSnBi: relaxed, PBE.

Output
**Energy of formation from the pure elements**: -168 kJ/mol of formula units

The structure in CIF format:
```
data_LiGdSnBi
_chemical_formula_sum 'Li4 Gd4 Sn4 Bi4'
_cell_length_a 7.5235
_cell_length_b 7.5235
_cell_length_c 7.5235
_cell_angle_alpha 90.00
_cell_angle_beta 90.00
_cell_angle_gamma 90.00
_space_group_name_H-M_alt 'F -4 3 m'
_space_group_IT_number 216
_space_group_name_Hall 'F -4 2 3'
loop_
_atom_site_label
_atom_site_type_symbol
_atom_site_fract_x
_atom_site_fract_y
_atom_site_fract_z
Li1 Li 0.0000 0.0000 0.0000
Gd1 Gd 0.0000 0.0000 0.5000
Sn1 Sn 0.2500 0.2500 0.7500
Bi1 Bi 0.2500 0.2500 0.2500
```



3.
K4Dy3ErSe8: relaxed, PBE.

Output
**Energy relative to the elements, uncorrected**: -1.76 eV per atom

The structure in CIF format:
```
data_K4Dy3ErSe8
_chemical_formula_sum 'K12 Dy9 Er3 Se24'
_cell_length_a 8.4098
_cell_length_b 8.4098
_cell_length_c 23.0451
_cell_angle_alpha 90.00
_cell_angle_beta 90.00
_cell_angle_gamma 120.00
_space_group_name_H-M_alt 'R -3 m'
_space_group_IT_number 166
_space_group_name_Hall '-R 3 2"'
loop_
_atom_site_label
_atom_site_type_symbol
_atom_site_fract_x
_atom_site_fract_y
_atom_site_fract_z
K1 K 0.0000 0.0000 0.0000
K2 K 0.0000 0.5000 0.0000
Dy1 Dy 0.0000 0.5000 0.5000
Er1 Er 0.0000 0.0000 0.5000
Se1 Se 0.0000 0.0000 0.2351
Se2 Se 0.0018 0.5009 0.2348
```



4.
ErPuCu2: relaxed, PBE.

Output
**Energy of formation from the pure elements**: 70 kJ/mol of formula units
**Energy above the most stable polymorph in this dataset**: 262 meV per atom

The structure in CIF format:
```
data_ErPuCu2
_chemical_formula_sum 'Er3 Pu3 Cu6'
_cell_length_a 3.6776
_cell_length_b 3.6776
_cell_length_c 23.2891
_cell_angle_alpha 90.00
_cell_angle_beta 90.00
_cell_angle_gamma 120.00
_space_group_name_H-M_alt 'R -3 m'
_space_group_IT_number 166
_space_group_name_Hall '-R 3 2"'
loop_
_atom_site_label
_atom_site_type_symbol
_atom_site_fract_x
_atom_site_fract_y
_atom_site_fract_z
Er1 Er 0.0000 0.0000 0.0000
Pu1 Pu 0.0000 0.0000 0.5000
Cu1 Cu 0.0000 0.0000 0.2527
```



5.
TbPmY2: relaxed, PBE.

Output
**Energy of formation from the pure elements**: 10 kJ/mol of formula units
**Energy above the most stable polymorph in this dataset**: 14 meV per atom

The structure in CIF format:
```
data_TbPmY2
_chemical_formula_sum 'Tb3 Pm3 Y6'
_cell_length_a 3.6494
_cell_length_b 3.6494
_cell_length_c 33.5609
_cell_angle_alpha 90.00
_cell_angle_beta 90.00
_cell_angle_gamma 120.00
_space_group_name_H-M_alt 'R 3 m'
_space_group_IT_number 160
_space_group_name_Hall 'R 3 -2"'
loop_
_atom_site_label
_atom_site_type_symbol
_atom_site_fract_x
_atom_site_fract_y
_atom_site_fract_z
Tb1 Tb 0.0000 0.0000 0.0000
Pm1 Pm 0.0000 0.0000 0.8342
Y1 Y 0.0000 0.0000 0.4161
Y2 Y 0.0000 0.0000 0.5844
```



6.
ZrOs: relaxed, PBE.

Output
**Energy of formation from the pure elements**: 286 kJ/mol of formula units

The structure in CIF format:
```
data_ZrOs
_chemical_formula_sum 'Zr8 Os8'
_cell_length_a 8.2858
_cell_length_b 8.2858
_cell_length_c 8.2858
_cell_angle_alpha 90.00
_cell_angle_beta 90.00
_cell_angle_gamma 90.00
_space_group_name_H-M_alt 'I -4 3 m'
_space_group_IT_number 217
_space_group_name_Hall 'I -4 2 3'
loop_
_atom_site_label
_atom_site_type_symbol
_atom_site_fract_x
_atom_site_fract_y
_atom_site_fract_z
Zr1 Zr 0.1380 0.1380 0.1380
Os1 Os 0.1697 0.1697 0.8303
```



7.
Se2SBrN: relaxed, PBE.

Output
**Energy relative to the elements, uncorrected**: 1.79 eV per atom
**Energy above the most stable polymorph in this dataset**: 716 meV per atom

The structure in CIF format:
```
data_Se2SBrN
_chemical_formula_sum 'Se2 S1 Br1 N1'
_cell_length_a 5.2904
_cell_length_b 5.2904
_cell_length_c 3.7653
_cell_angle_alpha 90.00
_cell_angle_beta 90.00
_cell_angle_gamma 90.00
_space_group_name_H-M_alt 'P 4/m m m'
_space_group_IT_number 123
_space_group_name_Hall '-P 4 2'
loop_
_atom_site_label
_atom_site_type_symbol
_atom_site_fract_x
_atom_site_fract_y
_atom_site_fract_z
Se1 Se 0.0000 0.5000 0.0000
S1 S 0.0000 0.0000 0.5000
Br1 Br 0.5000 0.5000 0.0000
N1 N 0.5000 0.5000 0.5000
```



8.
CaNb2Te2: relaxed, PBE.

Output
**Energy relative to the elements, uncorrected**: -0.47 eV per atom
**Energy above the most stable polymorph in this dataset**: 0 meV per atom

The structure in CIF format:
```
data_CaNb2Te2
_chemical_formula_sum 'Ca2 Nb4 Te4'
_cell_length_a 4.0142
_cell_length_b 4.0142
_cell_length_c 15.5552
_cell_angle_alpha 90.00
_cell_angle_beta 90.00
_cell_angle_gamma 90.00
_space_group_name_H-M_alt 'I 4/m m m'
_space_group_IT_number 139
_space_group_name_Hall '-I 4 2'
loop_
_atom_site_label
_atom_site_type_symbol
_atom_site_fract_x
_atom_site_fract_y
_atom_site_fract_z
Ca1 Ca 0.0000 0.0000 0.0000
Nb1 Nb 0.0000 0.5000 0.2500
Te1 Te 0.0000 0.0000 0.3833
```



9.
YMgHg6: relaxed, PBE.

Output
**Energy of formation from the pure elements**: 51 kJ/mol of formula units

The structure in CIF format:
```
data_YMgHg6
_chemical_formula_sum 'Y3 Mg3 Hg18'
_cell_length_a 6.2306
_cell_length_b 6.2306
_cell_length_c 23.3338
_cell_angle_alpha 90.00
_cell_angle_beta 90.00
_cell_angle_gamma 120.00
_space_group_name_H-M_alt 'R -3 m'
_space_group_IT_number 166
_space_group_name_Hall '-R 3 2"'
loop_
_atom_site_label
_atom_site_type_symbol
_atom_site_fract_x
_atom_site_fract_y
_atom_site_fract_z
Y1 Y 0.0000 0.0000 0.0000
Mg1 Mg 0.0000 0.0000 0.5000
Hg1 Hg 0.0101 0.5051 0.4361
```



10.
Mg2ScPN4: relaxed, PBE.

Output
**Energy relative to the elements, uncorrected**: -1.10 eV per atom

The structure in CIF format:
```
data_Mg2ScPN4
_chemical_formula_sum 'Mg4 Sc2 P2 N8'
_cell_length_a 6.6120
_cell_length_b 5.6586
_cell_length_c 5.1156
_cell_angle_alpha 90.00
_cell_angle_beta 90.00
_cell_angle_gamma 90.00
_space_group_name_H-M_alt 'P m n 21'
_space_group_IT_number 31
loop_
_space_group_symop_operation_xyz
'x,y,z'
'-x+1/2,-y,z+1/2'
'-x,y,z'
'x+1/2,-y,z+1/2'
loop_
_atom_site_label
_atom_site_type_symbol
_atom_site_fract_x
_atom_site_fract_y
_atom_site_fract_z
Mg1 Mg 0.2467 0.1696 0.0000
Sc1 Sc 0.0000 0.3512 0.4957
P1 P 0.0000 0.6761 0.0128
N1 N 0.0000 0.3922 0.9136
N2 N 0.0000 0.6837 0.3376
N3 N 0.2114 0.8102 0.9109
```



11.
Sm3Dy3Tl2: relaxed, PBE.

Output
**Energy of formation from the pure elements**: -144 kJ/mol of formula units
**Energy above the most stable polymorph in this dataset**: 0 meV per atom

The structure in CIF format:
```
data_Sm3Dy3Tl2
_chemical_formula_sum 'Sm3 Dy3 Tl2'
_cell_length_a 4.8731
_cell_length_b 4.8901
_cell_length_c 9.8526
_cell_angle_alpha 90.00
_cell_angle_beta 90.00
_cell_angle_gamma 90.00
_space_group_name_H-M_alt 'P m m m'
_space_group_IT_number 47
loop_
_space_group_symop_operation_xyz
'x,y,z'
'-x,-y,-z'
'-x,-y,z'
'x,y,-z'
'x,-y,-z'
'-x,y,z'
'-x,y,-z'
'x,-y,z'
loop_
_atom_site_label
_atom_site_type_symbol
_atom_site_fract_x
_atom_site_fract_y
_atom_site_fract_z
Sm1 Sm 0.0000 0.0000 0.0000
Sm2 Sm 0.0000 0.0000 0.5000
Sm3 Sm 0.5000 0.5000 0.0000
Dy1 Dy 0.5000 0.0000 0.2511
Dy2 Dy 0.5000 0.5000 0.5000
Tl1 Tl 0.0000 0.5000 0.2525
```



12.
CaTc2Te: relaxed, PBE.

Output
**Energy relative to the elements, uncorrected**: 0.45 eV per atom

The structure in CIF format:
```
data_CaTc2Te
_chemical_formula_sum 'Ca1 Tc2 Te1'
_cell_length_a 4.5499
_cell_length_b 4.5499
_cell_length_c 3.4980
_cell_angle_alpha 90.00
_cell_angle_beta 90.00
_cell_angle_gamma 90.00
_space_group_name_H-M_alt 'P 4/m m m'
_space_group_IT_number 123
_space_group_name_Hall '-P 4 2'
loop_
_atom_site_label
_atom_site_type_symbol
_atom_site_fract_x
_atom_site_fract_y
_atom_site_fract_z
Ca1 Ca 0.0000 0.0000 0.0000
Tc1 Tc 0.0000 0.5000 0.5000
Te1 Te 0.5000 0.5000 0.0000
```



Number 1: volume 14.0 A^3/atom. Number 2: volume 26.6 A^3/atom. Number 3: volume 29.4 A^3/atom. Number 4: volume 22.7 A^3/atom. Number 5: volume 32.3 A^3/atom. Number 6: volume 35.6 A^3/atom. Number 7: volume 21.1 A^3/atom. Number 8: volume 25.1 A^3/atom. Number 9: volume 32.7 A^3/atom. Number 10: volume 12.0 A^3/atom. Number 11: volume 29.3 A^3/atom. Number 12: volume 18.1 A^3/atom.